Below is a geometry-optimized Sc4TcBr structure, with properties calculated at the GGA-PBEsol level.

Structure (POSCAR):
```
Sc4TcBr
1.0
-4.654 2.930 1.116
-3.573 -1.800 3.934
-0.468 2.783 4.850
Br Sc Tc
1 4 1
direct
0.000 0.000 0.000
0.378 0.378 0.378
0.378 0.378 0.865
0.865 0.378 0.378
0.378 0.865 0.378
0.750 0.750 0.750
```

Computed properties:
Total moment in μB/cell: 0.00
E_tot in eV/atom: -5.972
Symmetry: No. 216